# 1
## Sm2SiPd (PBE)

Data for a relaxed structure of Sm2SiPd.

Calculated values
Energy: -5.780 eV/atom
Magnetization: 0.000 μB per atom
Uncorrected formation energy: -0.766 eV per atom
Space group: P2_1/m

Cell lengths 5.9144, 4.3185, 8.0926 Å; angles 90.00, 110.77, 90.00 degrees
Last column: nearest neighbours and their distance in Å.
Sites, in units of the cell vectors:
Sm 0.2188 0.2500 0.4183  3 Pd 3.03-3.09, 4 Si 3.07-3.14
Sm 0.2234 0.2500 0.9372  4 Pd 3.02-3.29, 3 Si 3.07-3.12
Sm 0.7766 0.7500 0.0628  4 Pd 3.02-3.29, 3 Si 3.07-3.12
Sm 0.7812 0.7500 0.5817  3 Pd 3.03-3.09, 4 Si 3.07-3.14
Si 0.3365 0.7500 0.7073  2 Pd 2.70
Si 0.6635 0.2500 0.2927  2 Pd 2.70
Pd 0.3711 0.7500 0.2159  2 Si 2.70, 2 Sm 3.02
Pd 0.6289 0.2500 0.7841  2 Si 2.70, 2 Sm 3.02

---

# 2
## Sm4Si3Pd4 (PBE)

Data for a relaxed structure of Sm4Si3Pd4.

Calculated values
Energy: -5.972 eV/atom
Magnetization: 0.000 μB per atom
Uncorrected formation energy: -0.889 eV per atom
Space group: C2/c

Cell lengths 10.9735, 10.9735, 7.9956 Å; angles 108.20, 108.20, 29.47 degrees
Last column: nearest neighbours and their distance in Å.
Sites, in units of the cell vectors:
Sm 0.0647 0.7995 0.8325  5 Pd 3.02-3.14, 3 Si 3.03-3.18
Sm 0.2005 0.9353 0.6675  5 Pd 3.02-3.14, 3 Si 3.03-3.18
Sm 0.2053 0.4551 0.1065  7 Pd 3.04-3.34, 3 Si 3.04-3.12
Sm 0.4551 0.2053 0.6065  7 Pd 3.04-3.34, 3 Si 3.04-3.12
Sm 0.5449 0.7947 0.3935  7 Pd 3.04-3.34, 3 Si 3.04-3.12
Sm 0.7947 0.5449 0.8935  7 Pd 3.04-3.34, 3 Si 3.04-3.12
Sm 0.7995 0.0647 0.3325  5 Pd 3.02-3.14, 3 Si 3.03-3.18
Sm 0.9353 0.2005 0.1675  5 Pd 3.02-3.14, 3 Si 3.03-3.18
Si 0.0460 0.2961 0.5456  4 Pd 2.46-2.58
Si 0.2961 0.0460 0.0456  4 Pd 2.46-2.58
Si 0.3415 0.6585 0.2500  4 Pd 2.65-2.68
Si 0.6585 0.3415 0.7500  4 Pd 2.65-2.68
Si 0.7039 0.9540 0.9544  4 Pd 2.46-2.58
Si 0.9540 0.7039 0.4544  4 Pd 2.46-2.58
Pd 0.0871 0.3613 0.2985  3 Si 2.46-2.57
Pd 0.3066 0.5630 0.4861  3 Si 2.58-2.68
Pd 0.3613 0.0871 0.7985  3 Si 2.46-2.57
Pd 0.4370 0.6934 0.0139  3 Si 2.58-2.68
Pd 0.5630 0.3066 0.9861  3 Si 2.58-2.68
Pd 0.6387 0.9129 0.2015  3 Si 2.46-2.57
Pd 0.6934 0.4370 0.5139  3 Si 2.58-2.68
Pd 0.9129 0.6387 0.7015  3 Si 2.46-2.57